Below is a geometry-optimized Ta2W2Se structure, with properties calculated at the PBE level.

Unit cell a=6.708 b=6.708 c=6.708 alpha=144.11 beta=144.11 gamma=51.67
Sites, in units of the cell vectors:
Ta (0.250, 0.750, 0.500)
Ta (0.750, 0.250, 0.500)
W (0.610, 0.610, 0.000)
W (0.390, 0.390, 0.000)
Se (0.000, 0.000, 0.000)

Results
uncorrected energy: -0.351 hartree per atom
Fermi-level density of states: 5.849 states/eV/cell
E_form (uncorrected): 1072 meV per atom